Record 1
Computed, not measured: a crystal of F relaxed with PBEsol at the meta-GGA SCAN level of DFT.

The structure in POSCAR format:
```
F
1.0
-0.443 -0.738 -3.006
2.656 -0.966 1.337
-2.930 -5.565 1.798
F
4
direct
0.087 0.087 0.901
0.413 0.413 0.401
0.587 0.587 0.599
0.913 0.913 0.099
```

Summary:
Formation energy (no corrections) in meV per atom: 0
Total DFT energy (no corrections) in eV/atom: -3.5400
E above lowest polymorph in meV/atom: 0
Total magnetization in μB per formula unit: 0.030


Record 2
Computed, not measured: a crystal of F relaxed with PBEsol at the meta-GGA SCAN level of DFT.

The structure in POSCAR format:
```
F
1.0
-2.180 -0.758 0.107
1.324 -1.260 1.414
0.077 2.218 0.645
F
1
direct
0.000 0.000 0.000
```

Summary:
Formation energy (no corrections) in meV per atom: 745
Total DFT energy (no corrections) in eV/atom: -2.7955
E above lowest polymorph in meV/atom: 745
Total magnetization in μB per formula unit: 1.000